1.
# Na2LiNpTe4 | the Alexandria database | GGA-PBE | optimized geometry
# Uncorrected formation energy: -5.9 eV per formula unit
data_Na2LiNpTe4
_chemical_formula_sum 'Na2 Li1 Np1 Te4'
_space_group_name_H-M_alt 'P 1 2/m 1'
_space_group_IT_number 10
_cell_length_a 7.477
_cell_length_b 4.446
_cell_length_c 7.806
_cell_angle_alpha 90.00
_cell_angle_beta 108.74
_cell_angle_gamma 90.00
loop_
_space_group_symop_operation_xyz
'x,y,z'
'-x,-y,-z'
'-x,y,-z'
'x,-y,z'
loop_
_atom_site_label
_atom_site_fract_x
_atom_site_fract_y
_atom_site_fract_z
Na1 0.000 0.000 0.000
Na2 0.500 0.500 0.000
Li1 0.000 0.500 0.500
Np1 0.500 0.000 0.500
Te1 0.248 0.000 0.721
Te2 0.259 0.500 0.274

***

2.
# Ca5CeHg6 | the Alexandria database | GGA-PBE | optimized geometry
# ΔH_f (0 K): -0.52 eV per atom
data_Ca5CeHg6
_chemical_formula_sum 'Ca10 Ce2 Hg12'
_space_group_name_H-M_alt 'C m m m'
_space_group_IT_number 65
_space_group_name_Hall '-C 2 2'
_cell_length_a 5.389
_cell_length_b 16.106
_cell_length_c 7.619
_cell_angle_alpha 90.00
_cell_angle_beta 90.00
_cell_angle_gamma 90.00
loop_
_atom_site_label
_atom_site_fract_x
_atom_site_fract_y
_atom_site_fract_z
Ca1 0.000 0.000 0.000
Ca2 0.000 0.331 0.500
Ca3 0.000 0.334 0.000
Ce1 0.000 0.000 0.500
Hg1 0.000 0.165 0.250
Hg2 0.000 0.500 0.256

***

3.
# Y2Hg2Ir | the Alexandria database | GGA-PBE | optimized geometry
# E above lowest polymorph: 0.000 eV/atom
# ΔH_f (0 K): -0.55 eV per atom
data_Y2Hg2Ir
_chemical_formula_sum 'Y4 Hg4 Ir2'
_space_group_name_H-M_alt 'I 4/m m m'
_space_group_IT_number 139
_space_group_name_Hall '-I 4 2'
_cell_length_a 3.468
_cell_length_b 3.468
_cell_length_c 19.319
_cell_angle_alpha 90.00
_cell_angle_beta 90.00
_cell_angle_gamma 90.00
loop_
_atom_site_label
_atom_site_fract_x
_atom_site_fract_y
_atom_site_fract_z
Y1 0.000 0.000 0.087
Hg1 0.000 0.000 0.301
Ir1 0.000 0.000 0.500

***

4.
# FeRu3 | the Alexandria database | GGA-PBE | optimized geometry
# ΔH_f (0 K): 0.36 eV per atom
data_FeRu3
_chemical_formula_sum 'Fe2 Ru6'
_space_group_name_H-M_alt 'P m -3 n'
_space_group_IT_number 223
_space_group_name_Hall '-P 4n 2 3'
_cell_length_a 4.799
_cell_length_b 4.799
_cell_length_c 4.799
_cell_angle_alpha 90.00
_cell_angle_beta 90.00
_cell_angle_gamma 90.00
loop_
_atom_site_label
_atom_site_fract_x
_atom_site_fract_y
_atom_site_fract_z
Fe1 0.000 0.000 0.000
Ru1 0.000 0.250 0.500

***

5.
# CsTi3Ag | the Alexandria database | GGA-PBE | optimized geometry
# E above lowest polymorph: 0.697 eV/atom
# ΔH_f (0 K): 2.01 eV per atom
data_CsTi3Ag
_chemical_formula_sum 'Cs1 Ti3 Ag1'
_space_group_name_H-M_alt 'P m -3 m'
_space_group_IT_number 221
_space_group_name_Hall '-P 4 2 3'
_cell_length_a 4.962
_cell_length_b 4.962
_cell_length_c 4.962
_cell_angle_alpha 90.00
_cell_angle_beta 90.00
_cell_angle_gamma 90.00
loop_
_atom_site_label
_atom_site_fract_x
_atom_site_fract_y
_atom_site_fract_z
Cs1 0.000 0.000 0.000
Ti1 0.000 0.000 0.500
Ag1 0.500 0.500 0.500

***

6.
# RbLiSO4 | the Alexandria database | GGA-PBE | optimized geometry
# Uncorrected formation energy: -13.3 eV per formula unit
# E above lowest polymorph: 0.000 eV/atom
data_RbLiSO4
_chemical_formula_sum 'Rb8 Li8 S8 O32'
_space_group_name_H-M_alt 'P 1 21/c 1'
_space_group_IT_number 14
_cell_length_a 9.267
_cell_length_b 5.363
_cell_length_c 17.789
_cell_angle_alpha 90.00
_cell_angle_beta 90.04
_cell_angle_gamma 90.00
loop_
_space_group_symop_operation_xyz
'x,y,z'
'-x,-y,-z'
'-x,y+1/2,-z+1/2'
'x,-y+1/2,z+1/2'
loop_
_atom_site_label
_atom_site_fract_x
_atom_site_fract_y
_atom_site_fract_z
Rb1 0.224 0.247 0.252
Rb2 0.274 0.234 0.002
Li1 0.088 0.743 0.910
Li2 0.411 0.749 0.660
S1 0.080 0.747 0.602
S2 0.419 0.747 0.852
O1 0.043 0.082 0.876
O2 0.053 0.003 0.633
O3 0.092 0.742 0.019
O4 0.216 0.643 0.634
O5 0.286 0.644 0.887
O6 0.401 0.747 0.769
O7 0.445 0.008 0.879
O8 0.454 0.088 0.627

***

7.
# MgBi | the Alexandria database | GGA-PBE | optimized geometry
# ΔH_f (0 K): -0.09 eV per atom
data_MgBi
_chemical_formula_sum 'Mg6 Bi6'
_space_group_name_H-M_alt 'A m m 2'
_space_group_IT_number 38
_cell_length_a 4.997
_cell_length_b 4.545
_cell_length_c 14.595
_cell_angle_alpha 90.00
_cell_angle_beta 90.00
_cell_angle_gamma 90.00
loop_
_space_group_symop_operation_xyz
'x,y,z'
'-x,-y,z'
'-x,y,z'
'x,-y,z'
'x,y+1/2,z+1/2'
'-x,-y+1/2,z+1/2'
'-x,y+1/2,z+1/2'
'x,-y+1/2,z+1/2'
loop_
_atom_site_label
_atom_site_fract_x
_atom_site_fract_y
_atom_site_fract_z
Mg1 0.000 0.000 0.000
Mg2 0.000 0.000 0.325
Mg3 0.500 0.000 0.813
Bi1 0.000 0.000 0.674
Bi2 0.500 0.000 0.154
Bi3 0.500 0.000 0.453

***

8.
# HPdRh | the Alexandria database | GGA-PBE | optimized geometry
# E above lowest polymorph: 0.000 eV/atom
data_HPdRh
_chemical_formula_sum 'H1 Pd1 Rh1'
_space_group_name_H-M_alt 'P 3 m 1'
_space_group_IT_number 156
_cell_length_a 2.8194
_cell_length_b 2.8194
_cell_length_c 4.6820
_cell_angle_alpha 90.00
_cell_angle_beta 90.00
_cell_angle_gamma 120.00
loop_
_space_group_symop_operation_xyz
'x,y,z'
'-y,x-y,z'
'-x+y,-x,z'
'-y,-x,z'
'-x+y,y,z'
'x,x-y,z'
loop_
_atom_site_label
_atom_site_fract_x
_atom_site_fract_y
_atom_site_fract_z
H1 0.0000 0.0000 0.0000
Pd1 0.3333 0.6667 0.6864
Rh1 0.6667 0.3333 0.2013

***

9.
# Pu12OsRh6 | the Alexandria database | GGA-PBE | optimized geometry
# ΔH_f (0 K): -0.20 eV per atom
data_Pu12OsRh6
_chemical_formula_sum 'Pu36 Os3 Rh18'
_space_group_name_H-M_alt 'R -3'
_space_group_IT_number 148
_space_group_name_Hall '-R 3'
_cell_length_a 10.7943
_cell_length_b 10.7943
_cell_length_c 11.3910
_cell_angle_alpha 90.00
_cell_angle_beta 90.00
_cell_angle_gamma 120.00
loop_
_atom_site_label
_atom_site_fract_x
_atom_site_fract_y
_atom_site_fract_z
Pu1 0.0555 0.8198 0.4134
Pu2 0.0568 0.1851 0.7914
Os1 0.0000 0.0000 0.0000
Rh1 0.0544 0.4524 0.7085

***

10.
# Na2SbAs3Pd4 | the Alexandria database | GGA-PBE | optimized geometry
# Uncorrected formation energy: -4.0 eV per formula unit
data_Na2SbAs3Pd4
_chemical_formula_sum 'Na2 Sb1 As3 Pd4'
_space_group_name_H-M_alt 'P -4 m 2'
_space_group_IT_number 115
_cell_length_a 4.425
_cell_length_b 4.425
_cell_length_c 10.404
_cell_angle_alpha 90.00
_cell_angle_beta 90.00
_cell_angle_gamma 90.00
loop_
_space_group_symop_operation_xyz
'x,y,z'
'y,-x,-z'
'-x,-y,z'
'-y,x,-z'
'-x,y,z'
'-y,-x,-z'
'x,-y,z'
'y,x,-z'
loop_
_atom_site_label
_atom_site_fract_x
_atom_site_fract_y
_atom_site_fract_z
Na1 0.000 0.500 0.237
Sb1 0.000 0.000 0.500
As1 0.000 0.500 0.879
As2 0.500 0.500 0.500
Pd1 0.000 0.000 0.000
Pd2 0.000 0.500 0.642
Pd3 0.500 0.500 0.000

***

11.
# DyY2Tm | the Alexandria database | GGA-PBE | optimized geometry
# E above lowest polymorph: 0.013 eV/atom
# ΔH_f (0 K): 0.03 eV per atom
data_DyY2Tm
_chemical_formula_sum 'Dy1 Y2 Tm1'
_space_group_name_H-M_alt 'P 4/m m m'
_space_group_IT_number 123
_space_group_name_Hall '-P 4 2'
_cell_length_a 5.011
_cell_length_b 5.011
_cell_length_c 5.015
_cell_angle_alpha 90.00
_cell_angle_beta 90.00
_cell_angle_gamma 90.00
loop_
_atom_site_label
_atom_site_fract_x
_atom_site_fract_y
_atom_site_fract_z
Dy1 0.000 0.000 0.000
Y1 0.000 0.500 0.500
Tm1 0.500 0.500 0.000

***

In eV/atom, the final energy values for the records above are, in order, -4.499 -1.996 -5.031 -8.713 -3.469 -5.736 -2.825 -5.249 -12.167 -4.548 -5.474.